1.
Material: Cd3OsW
Method: DFT, PBE
State: optimized geometry

Summary:
Its total energy is -17.422 eV/cell. For the relative energy among the computed polymorphs, the calculation gives 0.00 eV/f.u. For the density of states at the Fermi level, the calculation gives 4.4 states/eV per cell. As for the formation energy: 1.901 eV/atom.

a = 5.121 Å, b = 5.121 Å, c = 5.121 Å
α = 90.00°, β = 90.00°, γ = 90.00°
Element x y z (fractional)
Cd  0.000  0.000  0.500
Cd  0.000  0.500  0.000
Cd  0.500  0.000  0.000
Os  0.000  0.000  0.000
W  0.500  0.500  0.500

2.
Material: Te3PBr
Method: DFT, PBE
State: optimized geometry

Summary:
Its total energy is -10.068 eV/cell. For the relative energy among the computed polymorphs, the calculation gives 6.40 eV/f.u. The uncorrected formation energy comes out at 1287.9 meV per atom. For the density of states at the Fermi level, the calculation gives 4.6 states/eV per cell.

a = 5.588 Å, b = 5.588 Å, c = 5.588 Å
α = 90.00°, β = 90.00°, γ = 90.00°
Element x y z (fractional)
Te  0.000  0.000  0.500
Te  0.000  0.500  0.000
Te  0.500  0.000  0.000
P  0.500  0.500  0.500
Br  0.000  0.000  0.000

3.
Material: HgRh3W
Method: DFT, PBE
State: optimized geometry

Summary:
Its total energy is -23.874 eV/cell. For the relative energy among the computed polymorphs, the calculation gives 6.38 eV/f.u. For the density of states at the Fermi level, the calculation gives 8.1 states/eV per cell. As for the formation energy: 2.287 eV/atom.

a = 4.817 Å, b = 4.817 Å, c = 4.817 Å
α = 90.00°, β = 90.00°, γ = 90.00°
Element x y z (fractional)
Hg  0.000  0.000  0.000
Rh  0.000  0.000  0.500
Rh  0.000  0.500  0.000
Rh  0.500  0.000  0.000
W  0.500  0.500  0.500

4.
Material: AsPb2W
Method: DFT, PBE
State: optimized geometry

Summary:
Its total energy is -21.065 eV/cell. For the density of states at the Fermi level, the calculation gives 2.2 states/eV per cell. As for the formation energy: 0.989 eV/atom.

a = 5.256 Å, b = 5.256 Å, c = 5.256 Å
α = 125.82°, β = 125.82°, γ = 80.18°
Element x y z (fractional)
As  0.000  0.000  0.000
Pb  0.250  0.750  0.500
Pb  0.500  0.500  0.000
W  0.750  0.250  0.500